# 1
Computed, not measured: a relaxed Ba2PtSeN crystal at the PBE-GGA level of DFT.

Computed properties:
The uncorrected formation energy comes out at -1.10 eV/atom.

Cell: 5.7906 5.7906 3.8974 Å, 90.00 90.00 90.00°
Fractional coordinates of all 5 atoms:
Se: 0.5000 0.5000 0.5000
Ba: 0.0000 0.5000 0.0000
Ba: 0.5000 0.0000 0.0000
Pt: 0.0000 0.0000 0.5000
N: 0.0000 0.0000 0.0000

=====

# 2
Computed, not measured: a relaxed LaCd2In crystal at the PBE-GGA level of DFT.

Computed properties:
The value obtained for the energy of formation from the pure elements is -21.2 kJ/mol of atoms.

Cell: 3.8175 3.8175 7.4619 Å, 90.00 90.00 90.01°
Each line ends with the local moment (μB).
Fractional coordinates of all 4 atoms:
Cd: 0.0000 0.0000 0.0273  0.00
Cd: 0.0000 0.0000 0.4727  0.00
In: 0.5000 0.5000 0.2500  0.00
La: 0.5000 0.5000 0.7500  0.13